No. 1
# Cs5Tl6Cd

A geometry-optimized Cs5Tl6Cd structure (PBE, Alexandria).

Cell lengths 9.8008, 8.2247, 9.7561 Å; angles 65.07, 78.72, 62.36 degrees
Element x y z (fractional)
1 Cs 0.5000 0.5000 0.0000
2 Cs 0.0000 0.6398 0.7204
3 Cs 0.0000 0.3602 0.2796
4 Cs 0.5000 0.7831 0.4338
5 Cs 0.5000 0.2169 0.5662
6 Tl 0.1797 0.7628 0.2895
7 Tl 0.3116 0.0314 0.0000
8 Tl 0.8203 0.2372 0.7105
9 Tl 0.8203 0.9477 0.2895
10 Tl 0.6884 0.9686 0.0000
11 Tl 0.1797 0.0523 0.7105
12 Cd 0.0000 0.0000 0.0000

Properties
As for the space-group type: C2/m, No. 12. The formation energy comes out at -0.068 eV/atom. For the total magnetic moment, the calculation gives 0.000 μB per formula unit. As for the calculated volume: 631.7 Å³/cell.

***

No. 2
# Sm2TmMg

A geometry-optimized Sm2TmMg structure (PBE, Alexandria).

Cell lengths 3.6705, 3.6705, 8.9994 Å; angles 90.00, 90.00, 90.00 degrees
Element x y z (fractional)
1 Sm 0.0000 0.0000 0.7672
2 Sm 0.0000 0.0000 0.2328
3 Tm 0.5000 0.5000 0.5000
4 Mg 0.5000 0.5000 0.0000

Properties
As for the space-group type: P4/mmm, No. 123. The formation energy comes out at -0.024 eV/atom. For the total magnetic moment, the calculation gives 0.000 μB per formula unit. The polymorph energy (0 for the lowest one) is 0.0 meV per atom. As for the calculated volume: 121.2 Å³/cell.

***

No. 3
# VW3S

A geometry-optimized VW3S structure (PBE, Alexandria).

Cell lengths 4.5690, 4.5690, 4.5690 Å; angles 90.00, 90.00, 90.00 degrees
Element x y z (fractional)
1 V 0.0000 0.0000 0.0000
2 W 0.0000 0.0000 0.5000
3 W 0.0000 0.5000 0.0000
4 W 0.5000 0.0000 0.0000
5 S 0.5000 0.5000 0.5000

Properties
As for the space-group type: Pm-3m, No. 221. The value obtained for the uncorrected formation energy is 192.69 kJ per mole of atoms. For the total magnetic moment, the calculation gives 0.000 μB per formula unit. The polymorph energy (0 for the lowest one) is 1071.3 meV per atom. As for the calculated volume: 95.4 Å³/cell.